Below is a geometry-optimized AcSmDy2Er structure, with properties calculated at the PBE level.

Summary:
* crystal system: orthorhombic
* calculated formation energy: 0.393 eV/atom

Lattice parameters (Å, degrees): 9.3550 9.3550 6.4556 90.00 90.00 139.63
Sites, in units of the cell vectors:
Ac (0.1593, 0.8407, 0.7500)
Ac (0.8407, 0.1593, 0.2500)
Sm (0.3474, 0.6526, 0.7500)
Sm (0.6526, 0.3474, 0.2500)
Dy (0.2515, 0.2515, 0.0000)
Dy (0.2515, 0.2515, 0.5000)
Dy (0.7485, 0.7485, 0.0000)
Dy (0.7485, 0.7485, 0.5000)
Er (0.2486, 0.7514, 0.2500)
Er (0.7514, 0.2486, 0.7500)



Below is a geometry-optimized YHo2Be structure, with properties calculated at the PBE level.

Summary:
* crystal system: trigonal
* calculated formation energy: 0.692 eV/atom
* relative energy among the computed polymorphs: 0.627 eV/atom

Lattice parameters (Å, degrees): 11.5508 11.5508 11.5508 17.05 17.05 17.05
Sites, in units of the cell vectors:
Y (0.0000, 0.0000, 0.0000)
Ho (0.4159, 0.4159, 0.4159)
Ho (0.5841, 0.5841, 0.5841)
Be (0.5000, 0.5000, 0.5000)



Below is a geometry-optimized MgRe2Mo structure, with properties calculated at the PBE level.

Summary:
* crystal system: monoclinic
* calculated formation energy: 0.249 eV/atom

Lattice parameters (Å, degrees): 5.2607 5.2607 2.6847 100.66 100.66 116.78
Sites, in units of the cell vectors:
Mg (0.0000, 0.0000, 0.0000)
Re (0.0000, 0.5000, 0.5000)
Re (0.5000, 0.0000, 0.5000)
Mo (0.5000, 0.5000, 0.0000)



Below is a geometry-optimized NaTm2Br8 structure, with properties calculated at the PBE level.

Summary:
* crystal system: monoclinic
* E_form (uncorrected): -1423 meV/atom

Lattice parameters (Å, degrees): 9.1555 9.1555 7.0953 102.81 102.81 57.92
Sites, in units of the cell vectors:
Na (0.0000, 0.0000, 0.0000)
Tm (0.1680, 0.1680, 0.6612)
Tm (0.8320, 0.8320, 0.3388)
Br (0.1482, 0.6956, 0.2497)
Br (0.1709, 0.1709, 0.2931)
Br (0.3044, 0.8518, 0.7503)
Br (0.3273, 0.3273, 0.8735)
Br (0.6727, 0.6727, 0.1265)
Br (0.6956, 0.1482, 0.2497)
Br (0.8291, 0.8291, 0.7069)
Br (0.8518, 0.3044, 0.7503)